Computed, not measured: a relaxed structure of TiVGe2 at the PBE-GGA level of DFT.

Properties
E above lowest polymorph: 430 meV/atom
Energy of formation from the pure elements: 0.132 eV/atom

Unit cell a=2.8612 b=2.8612 c=9.6029 alpha=81.43 beta=81.43 gamma=60.00
Closest atoms and distances in Å follow each position.
Fractional positions:
Ti 0.0000 0.0000 0.0000  2 Ge 2.64, 6 Ti 2.86
V 0.5000 0.5000 0.5000  6 Ge 2.66, 6 V 2.86
Ge 0.9070 0.9070 0.2791  1 Ti 2.64, 3 V 2.66, 6 Ge 2.86
Ge 0.0930 0.0930 0.7209  1 Ti 2.64, 3 V 2.66, 6 Ge 2.86

***

Computed, not measured: a relaxed structure of TmPaTe2 at the PBE-GGA level of DFT.

Properties
Energy relative to the elements, uncorrected: -3.376 eV/f.u.
E above lowest polymorph: 38 meV/atom

Unit cell a=3.7441 b=3.7441 c=7.4328 alpha=90.00 beta=90.00 gamma=90.00
Closest atoms and distances in Å follow each position.
Fractional positions:
Te 0.0000 0.0000 0.2537  4 Pa 3.22, 4 Tm 3.25
Pa 0.5000 0.5000 0.5000  8 Te 3.22
Te 0.0000 0.0000 0.7463  4 Pa 3.22, 4 Tm 3.25
Tm 0.5000 0.5000 0.0000  8 Te 3.25

***

Computed, not measured: a relaxed structure of ReBO2 at the PBE-GGA level of DFT.

Properties
Energy relative to the elements, uncorrected: -3.460 eV/f.u.

Unit cell a=6.1235 b=6.1235 c=6.1235 alpha=24.24 beta=24.24 gamma=24.24
Closest atoms and distances in Å follow each position.
Fractional positions:
Re 0.0000 0.0000 0.0000  2 O 2.10
O 0.1178 0.1178 0.1178  3 B 1.72
B 0.5000 0.5000 0.5000  6 O 1.72
O 0.8822 0.8822 0.8822  3 B 1.72

***

Computed, not measured: a relaxed structure of Sm3InCo3 at the PBE-GGA level of DFT.

Properties
Energy of formation from the pure elements: -0.151 eV/atom

Unit cell a=3.8357 b=9.9081 c=9.9081 alpha=120.00 beta=90.00 gamma=90.00
Closest atoms and distances in Å follow each position.
Fractional positions:
Sm 0.7500 0.3760 0.3119  4 Co 2.79-3.03
In 0.2500 0.6667 0.3333  9 Sm 3.38-3.74
Sm 0.7500 0.6881 0.0641  4 Co 2.79-3.03
Sm 0.2500 0.6240 0.6881  4 Co 2.79-3.03
Co 0.7500 0.0234 0.1539  6 Co 2.39-2.47
Co 0.2500 0.1539 0.1305  6 Co 2.39-2.47
Sm 0.2500 0.3119 0.9359  4 Co 2.79-3.03
Sm 0.7500 0.9359 0.6240  4 Co 2.79-3.03
In 0.7500 0.3333 0.6667  9 Sm 3.38-3.74
Co 0.2500 0.8695 0.0234  6 Co 2.39-2.47
Co 0.7500 0.1305 0.9766  6 Co 2.39-2.47
Co 0.7500 0.8461 0.8695  6 Co 2.39-2.47
Co 0.2500 0.9766 0.8461  6 Co 2.39-2.47
Sm 0.2500 0.0641 0.3760  4 Co 2.79-3.03